Version a
## LaRhCl3 (PBE)

Data for a relaxed structure of LaRhCl3.

Summary:
Density of states at the Fermi level ... 0.9927 states/eV/atom
Total magnetic moment ... 0.00 μB/f.u.
Space-group type ... Pm-3m

abc: 4.836 4.836 4.836
angles: 90.00 90.00 90.00
Fractional coordinates of all 5 atoms:
La 0.000 0.000 0.000
Rh 0.500 0.500 0.500
Cl 0.000 0.500 0.500
Cl 0.500 0.000 0.500
Cl 0.500 0.500 0.000

=====

Version b
## LaRhCl3 (PBE)

Data for a relaxed structure of LaRhCl3.

Summary:
Density of states at the Fermi level ... 5.3206 states/eV/atom
Total magnetic moment ... 1.34 μB/f.u.
Space-group type ... Pm-3m

abc: 5.524 5.524 5.524
angles: 90.00 90.00 90.00
Fractional coordinates of all 5 atoms:
La 0.000 0.000 0.000
Rh 0.500 0.500 0.500
Cl 0.000 0.000 0.500
Cl 0.000 0.500 0.000
Cl 0.500 0.000 0.000

=====

Bottom line: version a, by a margin of 78 meV/atom.

=====

Version a
## LaRh3Cl (PBE)

Data for a relaxed structure of LaRh3Cl.

Summary:
Density of states at the Fermi level ... 0.7037 states/eV/atom
Total magnetic moment ... 0.00 μB/f.u.
Space-group type ... Pm-3m

abc: 4.561 4.561 4.561
angles: 90.00 90.00 90.00
Fractional coordinates of all 5 atoms:
La 0.000 0.000 0.000
Rh 0.000 0.500 0.500
Rh 0.500 0.000 0.500
Rh 0.500 0.500 0.000
Cl 0.500 0.500 0.500

=====

Version b
## LaRh3Cl (PBE)

Data for a relaxed structure of LaRh3Cl.

Summary:
Density of states at the Fermi level ... 0.9753 states/eV/atom
Total magnetic moment ... 1.20 μB/f.u.
Space-group type ... Pm-3m

abc: 4.971 4.971 4.971
angles: 90.00 90.00 90.00
Fractional coordinates of all 5 atoms:
La 0.000 0.000 0.000
Rh 0.000 0.000 0.500
Rh 0.000 0.500 0.000
Rh 0.500 0.000 0.000
Cl 0.500 0.500 0.500

=====

Bottom line: version a, by a margin of 1080 meV/atom.

=====

Version a
## LaRuCl2 (PBE)

Data for a relaxed structure of LaRuCl2.

Summary:
Density of states at the Fermi level ... 0.8224 states/eV/atom
Total magnetic moment ... 1.10 μB/f.u.
Space-group type ... Pmmm

abc: 3.650 4.437 5.184
angles: 90.00 90.00 90.00
Fractional coordinates of all 4 atoms:
La 0.000 0.000 0.000
Ru 0.500 0.000 0.500
Cl 0.000 0.500 0.500
Cl 0.500 0.500 0.000

=====

Version b
## LaRuCl2 (PBE)

Data for a relaxed structure of LaRuCl2.

Summary:
Density of states at the Fermi level ... 1.4106 states/eV/atom
Total magnetic moment ... 1.02 μB/f.u.
Space-group type ... F-43m

abc: 6.942 6.942 6.942
angles: 90.00 90.00 90.00
Fractional coordinates of all 16 atoms:
La 0.000 0.000 0.000
La 0.000 0.500 0.500
La 0.500 0.000 0.500
La 0.500 0.500 0.000
Ru 0.250 0.250 0.250
Ru 0.250 0.750 0.750
Ru 0.750 0.250 0.750
Ru 0.750 0.750 0.250
Cl 0.000 0.000 0.500
Cl 0.000 0.500 0.000
Cl 0.250 0.250 0.750
Cl 0.250 0.750 0.250
Cl 0.500 0.000 0.000
Cl 0.500 0.500 0.500
Cl 0.750 0.250 0.250
Cl 0.750 0.750 0.750

=====

Bottom line: version a, by a margin of 224 meV/atom.

=====

Version a
## LaRuCl2 (PBE)

Data for a relaxed structure of LaRuCl2.

Summary:
Density of states at the Fermi level ... 1.9034 states/eV/atom
Total magnetic moment ... 1.30 μB/f.u.
Space-group type ... Fm-3m

abc: 6.889 6.889 6.889
angles: 90.00 90.00 90.00
Fractional coordinates of all 16 atoms:
La 0.000 0.000 0.000
La 0.000 0.500 0.500
La 0.500 0.000 0.500
La 0.500 0.500 0.000
Ru 0.000 0.000 0.500
Ru 0.000 0.500 0.000
Ru 0.500 0.000 0.000
Ru 0.500 0.500 0.500
Cl 0.250 0.250 0.250
Cl 0.250 0.250 0.750
Cl 0.250 0.750 0.250
Cl 0.250 0.750 0.750
Cl 0.750 0.250 0.250
Cl 0.750 0.250 0.750
Cl 0.750 0.750 0.250
Cl 0.750 0.750 0.750

=====

Version b
## LaRuCl2 (PBE)

Data for a relaxed structure of LaRuCl2.

Summary:
Density of states at the Fermi level ... 0.3691 states/eV/atom
Total magnetic moment ... 0.55 μB/f.u.
Space-group type ... Fmmm

abc: 6.050 6.814 8.699
angles: 90.00 90.00 90.00
Fractional coordinates of all 16 atoms:
La 0.000 0.000 0.000
La 0.000 0.500 0.500
La 0.500 0.000 0.500
La 0.500 0.500 0.000
Ru 0.000 0.000 0.500
Ru 0.000 0.500 0.000
Ru 0.500 0.000 0.000
Ru 0.500 0.500 0.500
Cl 0.000 0.250 0.250
Cl 0.000 0.250 0.750
Cl 0.000 0.750 0.250
Cl 0.000 0.750 0.750
Cl 0.500 0.250 0.250
Cl 0.500 0.250 0.750
Cl 0.500 0.750 0.250
Cl 0.500 0.750 0.750

=====

Bottom line: version b, by a margin of 203 meV/atom.

=====

Version a
## LaRuCl2 (PBE)

Data for a relaxed structure of LaRuCl2.

Summary:
Density of states at the Fermi level ... 0.6887 states/eV/atom
Total magnetic moment ... 1.50 μB/f.u.
Space-group type ... P4/mmm

abc: 4.454 4.454 4.124
angles: 90.00 90.00 90.00
Fractional coordinates of all 4 atoms:
La 0.000 0.000 0.000
Ru 0.500 0.500 0.000
Cl 0.000 0.500 0.500
Cl 0.500 0.000 0.500

=====

Version b
## LaRuCl2 (PBE)

Data for a relaxed structure of LaRuCl2.

Summary:
Density of states at the Fermi level ... 0.5872 states/eV/atom
Total magnetic moment ... 0.00 μB/f.u.
Space-group type ... Imm2

abc: 3.441 4.151 14.055
angles: 90.00 90.00 90.00
Fractional coordinates of all 8 atoms:
La 0.000 0.000 0.000
La 0.500 0.500 0.500
Ru 0.000 0.500 0.647
Ru 0.500 0.000 0.147
Cl 0.000 0.000 0.399
Cl 0.000 0.500 0.154
Cl 0.500 0.000 0.654
Cl 0.500 0.500 0.899

=====

Bottom line: version b, by a margin of 212 meV/atom.

=====

Version a
## LaRuCl2 (PBE)

Data for a relaxed structure of LaRuCl2.

Summary:
Density of states at the Fermi level ... 0.0634 states/eV/atom
Total magnetic moment ... 0.99 μB/f.u.
Space-group type ... Cmmm

abc: 5.976 6.896 4.237
angles: 90.00 90.00 90.00
Fractional coordinates of all 8 atoms:
La 0.000 0.000 0.000
La 0.500 0.500 0.000
Ru 0.000 0.500 0.000
Ru 0.500 0.000 0.000
Cl 0.000 0.284 0.500
Cl 0.000 0.716 0.500
Cl 0.500 0.216 0.500
Cl 0.500 0.784 0.500

=====

Version b
## LaRuCl2 (PBE)

Data for a relaxed structure of LaRuCl2.

Summary:
Density of states at the Fermi level ... 0.4690 states/eV/atom
Total magnetic moment ... 2.81 μB/f.u.
Space-group type ... R-3m

abc: 3.494 3.494 25.065
angles: 90.00 90.00 120.00
Fractional coordinates of all 12 atoms:
La 0.000 0.000 0.000
La 0.333 0.667 0.667
La 0.667 0.333 0.333
Ru 0.000 0.000 0.500
Ru 0.333 0.667 0.167
Ru 0.667 0.333 0.833
Cl 0.000 0.000 0.245
Cl 0.000 0.000 0.755
Cl 0.333 0.667 0.422
Cl 0.333 0.667 0.912
Cl 0.667 0.333 0.088
Cl 0.667 0.333 0.578

=====

Version c
## LaRuCl2 (PBE)

Data for a relaxed structure of LaRuCl2.

Summary:
Density of states at the Fermi level ... 0.9245 states/eV/atom
Total magnetic moment ... 0.89 μB/f.u.
Space-group type ... R-3m

abc: 3.962 3.962 22.873
angles: 90.00 90.00 120.00
Fractional coordinates of all 12 atoms:
La 0.000 0.000 0.000
La 0.333 0.667 0.667
La 0.667 0.333 0.333
Ru 0.000 0.000 0.500
Ru 0.333 0.667 0.167
Ru 0.667 0.333 0.833
Cl 0.000 0.000 0.122
Cl 0.000 0.000 0.878
Cl 0.333 0.667 0.545
Cl 0.333 0.667 0.788
Cl 0.667 0.333 0.212
Cl 0.667 0.333 0.455

=====

Bottom line: version a, by a margin of 489 meV/atom.

=====

Version a
## LaRuCl2 (PBE)

Data for a relaxed structure of LaRuCl2.

Summary:
Density of states at the Fermi level ... 0.6168 states/eV/atom
Total magnetic moment ... 0.88 μB/f.u.
Space-group type ... Immm

abc: 3.798 4.499 12.625
angles: 90.00 90.00 90.00
Fractional coordinates of all 8 atoms:
La 0.000 0.000 0.000
La 0.500 0.500 0.500
Ru 0.000 0.000 0.500
Ru 0.500 0.500 0.000
Cl 0.000 0.500 0.146
Cl 0.000 0.500 0.854
Cl 0.500 0.000 0.354
Cl 0.500 0.000 0.646

=====

Version b
## LaRuCl2 (PBE)

Data for a relaxed structure of LaRuCl2.

Summary:
Density of states at the Fermi level ... 1.3438 states/eV/atom
Total magnetic moment ... 1.02 μB/f.u.
Space-group type ... P4mm

abc: 3.950 3.950 6.105
angles: 90.00 90.00 90.00
Fractional coordinates of all 4 atoms:
La 0.000 0.000 0.000
Ru 0.500 0.500 0.207
Cl 0.000 0.000 0.465
Cl 0.500 0.500 0.819

=====

Bottom line: version a, by a margin of 159 meV/atom.

=====

Version a
## LaRuCl2 (PBE)

Data for a relaxed structure of LaRuCl2.

Summary:
Density of states at the Fermi level ... 0.5883 states/eV/atom
Total magnetic moment ... 0.95 μB/f.u.
Space-group type ... Cmm2

abc: 4.402 5.812 8.186
angles: 90.00 90.00 90.00
Fractional coordinates of all 8 atoms:
La 0.000 0.000 0.000
La 0.500 0.500 0.000
Ru 0.000 0.500 0.764
Ru 0.500 0.000 0.764
Cl 0.000 0.000 0.649
Cl 0.000 0.500 0.233
Cl 0.500 0.000 0.233
Cl 0.500 0.500 0.649

=====

Version b
## LaRuCl2 (PBE)

Data for a relaxed structure of LaRuCl2.

Summary:
Density of states at the Fermi level ... 0.7412 states/eV/atom
Total magnetic moment ... 2.56 μB/f.u.
Space-group type ... Cmmm

abc: 3.448 6.216 8.667
angles: 90.00 90.00 90.00
Fractional coordinates of all 8 atoms:
La 0.000 0.000 0.000
La 0.500 0.500 0.000
Ru 0.000 0.000 0.500
Ru 0.500 0.500 0.500
Cl 0.000 0.500 0.271
Cl 0.000 0.500 0.729
Cl 0.500 0.000 0.271
Cl 0.500 0.000 0.729

=====

Bottom line: version a, by a margin of 473 meV/atom.

=====

Version a
## LaRuCl2 (PBE)

Data for a relaxed structure of LaRuCl2.

Summary:
Density of states at the Fermi level ... 0.3048 states/eV/atom
Total magnetic moment ... 1.00 μB/f.u.
Space-group type ... I-42d

abc: 4.567 4.567 17.583
angles: 90.00 90.00 90.00
Fractional coordinates of all 16 atoms:
La 0.000 0.000 0.000
La 0.000 0.500 0.250
La 0.500 0.000 0.750
La 0.500 0.500 0.500
Ru 0.000 0.000 0.500
Ru 0.000 0.500 0.750
Ru 0.500 0.000 0.250
Ru 0.500 0.500 0.000
Cl 0.213 0.250 0.625
Cl 0.250 0.713 0.875
Cl 0.250 0.787 0.375
Cl 0.287 0.250 0.125
Cl 0.713 0.750 0.125
Cl 0.750 0.213 0.375
Cl 0.750 0.287 0.875
Cl 0.787 0.750 0.625

=====

Version b
## LaRuCl2 (PBE)

Data for a relaxed structure of LaRuCl2.

Summary:
Density of states at the Fermi level ... 0.9165 states/eV/atom
Total magnetic moment ... 1.93 μB/f.u.
Space-group type ... Pmmm

abc: 3.517 3.965 6.174
angles: 90.00 90.00 90.00
Fractional coordinates of all 4 atoms:
La 0.000 0.000 0.000
Ru 0.000 0.000 0.500
Cl 0.500 0.500 0.244
Cl 0.500 0.500 0.756

=====

Bottom line: version a, by a margin of 334 meV/atom.

=====

Version a
## La3RuCl (PBE)

Data for a relaxed structure of La3RuCl.

Summary:
Density of states at the Fermi level ... 0.7632 states/eV/atom
Total magnetic moment ... 0.00 μB/f.u.
Space-group type ... Pmmn

abc: 4.091 7.490 9.658
angles: 90.00 90.00 90.00
Fractional coordinates of all 10 atoms:
La 0.250 0.001 0.160
La 0.250 0.499 0.160
La 0.250 0.750 0.567
La 0.750 0.250 0.433
La 0.750 0.501 0.840
La 0.750 0.999 0.840
Ru 0.250 0.750 0.886
Ru 0.750 0.250 0.114
Cl 0.250 0.250 0.673
Cl 0.750 0.750 0.327

=====

Version b
## La3RuCl (PBE)

Data for a relaxed structure of La3RuCl.

Summary:
Density of states at the Fermi level ... 1.4289 states/eV/atom
Total magnetic moment ... 0.00 μB/f.u.
Space-group type ... Pm-3m

abc: 5.568 5.568 5.568
angles: 90.00 90.00 90.00
Fractional coordinates of all 5 atoms:
La 0.000 0.000 0.500
La 0.000 0.500 0.000
La 0.500 0.000 0.000
Ru 0.000 0.000 0.000
Cl 0.500 0.500 0.500

=====

Version c
## La3RuCl (PBE)

Data for a relaxed structure of La3RuCl.

Summary:
Density of states at the Fermi level ... 0.7358 states/eV/atom
Total magnetic moment ... 0.00 μB/f.u.
Space-group type ... C2/c

abc: 9.301 9.301 7.604
angles: 95.64 95.64 72.79
Fractional coordinates of all 20 atoms:
La 0.012 0.634 0.342
La 0.037 0.772 0.903
La 0.228 0.963 0.597
La 0.306 0.382 0.083
La 0.366 0.988 0.158
La 0.382 0.306 0.583
La 0.618 0.694 0.417
La 0.634 0.012 0.842
La 0.694 0.618 0.917
La 0.772 0.037 0.403
La 0.963 0.228 0.097
La 0.988 0.366 0.658
Ru 0.156 0.262 0.365
Ru 0.262 0.156 0.865
Ru 0.738 0.844 0.135
Ru 0.844 0.738 0.635
Cl 0.294 0.706 0.250
Cl 0.370 0.630 0.750
Cl 0.630 0.370 0.250
Cl 0.706 0.294 0.750

=====

Bottom line: version c, by a margin of 18 meV/atom.

=====

Version a
## LaRu2Cl (PBE)

Data for a relaxed structure of LaRu2Cl.

Summary:
Density of states at the Fermi level ... 1.4768 states/eV/atom
Total magnetic moment ... 1.57 μB/f.u.
Space-group type ... P4/mmm

abc: 4.047 4.047 5.668
angles: 90.00 90.00 90.00
Fractional coordinates of all 4 atoms:
La 0.000 0.000 0.000
Ru 0.500 0.500 0.201
Ru 0.500 0.500 0.799
Cl 0.000 0.000 0.500

=====

Version b
## LaRu2Cl (PBE)

Data for a relaxed structure of LaRu2Cl.

Summary:
Density of states at the Fermi level ... 1.4669 states/eV/atom
Total magnetic moment ... 0.00 μB/f.u.
Space-group type ... Fm-3m

abc: 6.652 6.652 6.652
angles: 90.00 90.00 90.00
Fractional coordinates of all 16 atoms:
La 0.000 0.000 0.000
La 0.000 0.500 0.500
La 0.500 0.000 0.500
La 0.500 0.500 0.000
Ru 0.250 0.250 0.250
Ru 0.250 0.250 0.750
Ru 0.250 0.750 0.250
Ru 0.250 0.750 0.750
Ru 0.750 0.250 0.250
Ru 0.750 0.250 0.750
Ru 0.750 0.750 0.250
Ru 0.750 0.750 0.750
Cl 0.000 0.000 0.500
Cl 0.000 0.500 0.000
Cl 0.500 0.000 0.000
Cl 0.500 0.500 0.500

=====

Bottom line: version a, by a margin of 191 meV/atom.

=====

Version a
## LaRu2Cl (PBE)

Data for a relaxed structure of LaRu2Cl.

Summary:
Density of states at the Fermi level ... 0.9641 states/eV/atom
Total magnetic moment ... 0.32 μB/f.u.
Space-group type ... Cm

abc: 8.477 3.884 5.433
angles: 90.00 114.48 90.00
Fractional coordinates of all 8 atoms:
La 0.000 0.000 0.000
La 0.500 0.500 0.000
Ru 0.266 0.500 0.389
Ru 0.459 0.000 0.406
Ru 0.766 0.000 0.389
Ru 0.959 0.500 0.406
Cl 0.192 0.000 0.646
Cl 0.692 0.500 0.646

=====

Version b
## LaRu2Cl (PBE)

Data for a relaxed structure of LaRu2Cl.

Summary:
Density of states at the Fermi level ... 0.9406 states/eV/atom
Total magnetic moment ... 0.00 μB/f.u.
Space-group type ... Cmmm

abc: 5.266 9.089 3.320
angles: 90.00 90.00 90.00
Fractional coordinates of all 8 atoms:
La 0.000 0.000 0.000
La 0.500 0.500 0.000
Ru 0.250 0.250 0.500
Ru 0.250 0.750 0.500
Ru 0.750 0.250 0.500
Ru 0.750 0.750 0.500
Cl 0.000 0.500 0.000
Cl 0.500 0.000 0.000

=====

Version c
## LaRu2Cl (PBE)

Data for a relaxed structure of LaRu2Cl.

Summary:
Density of states at the Fermi level ... 0.6842 states/eV/atom
Total magnetic moment ... 0.00 μB/f.u.
Space-group type ... I-42d

abc: 4.838 4.838 15.185
angles: 90.00 90.00 90.00
Fractional coordinates of all 16 atoms:
La 0.000 0.000 0.000
La 0.000 0.500 0.250
La 0.500 0.000 0.750
La 0.500 0.500 0.500
Ru 0.090 0.250 0.625
Ru 0.250 0.590 0.875
Ru 0.250 0.910 0.375
Ru 0.410 0.250 0.125
Ru 0.590 0.750 0.125
Ru 0.750 0.090 0.375
Ru 0.750 0.410 0.875
Ru 0.910 0.750 0.625
Cl 0.000 0.000 0.500
Cl 0.000 0.500 0.750
Cl 0.500 0.000 0.250
Cl 0.500 0.500 0.000

=====

Version d
## LaRu2Cl (PBE)

Data for a relaxed structure of LaRu2Cl.

Summary:
Density of states at the Fermi level ... 1.3191 states/eV/atom
Total magnetic moment ... 0.00 μB/f.u.
Space-group type ... I-4m2

abc: 5.327 5.327 5.284
angles: 90.00 90.00 90.00
Fractional coordinates of all 8 atoms:
La 0.000 0.000 0.000
La 0.500 0.500 0.500
Ru 0.000 0.000 0.500
Ru 0.000 0.500 0.250
Ru 0.500 0.000 0.750
Ru 0.500 0.500 0.000
Cl 0.000 0.500 0.750
Cl 0.500 0.000 0.250

=====

Bottom line: version a, by a margin of 267 meV/atom.